A plane-wave DFT calculation with GGA-PBE was carried out for an optimized crystal structure of Tl3I2O.

Calculated values
ΔE_f (raw) = -0.488 eV per atom

Lattice parameters (Å, degrees): 7.486 8.056 8.666 106.63 115.59 90.00
Element x y z (fractional)
Tl 0.950 0.846 0.771
O 0.924 0.750 0.000
Tl 0.050 0.154 0.229
I 0.762 0.527 0.294
I 0.468 0.973 0.706
Tl 0.625 0.750 0.000
I 0.532 0.027 0.294
Tl 0.821 0.346 0.771
Tl 0.375 0.250 0.000
Tl 0.179 0.654 0.229
O 0.076 0.250 0.000
I 0.238 0.473 0.706

A plane-wave DFT calculation with GGA-PBE was carried out for an optimized crystal structure of CsCo2Mo.

Calculated values
DFT formation energy = 1.457 eV per atom
Excess energy over the best structure of this formula in the dataset = 0.0 meV per atom

Lattice parameters (Å, degrees): 7.060 7.060 6.298 55.91 55.91 90.00
Element x y z (fractional)
Mo 0.250 0.750 0.500
Cs 0.000 0.000 0.000
Co 0.528 0.125 0.250
Co 0.222 0.625 0.250
Mo 0.500 0.500 0.000
Co 0.875 0.778 0.750
Co 0.375 0.472 0.750
Cs 0.750 0.250 0.500

A plane-wave DFT calculation with GGA-PBE was carried out for an optimized crystal structure of Mg3Zn7Ga2.

Calculated values
DFT formation energy = 0.019 eV per atom
Excess energy over the best structure of this formula in the dataset = 68.1 meV per atom

Lattice parameters (Å, degrees): 4.382 3.388 15.562 70.18 90.00 90.00
Element x y z (fractional)
Zn 0.000 0.425 0.717
Zn 0.000 0.000 0.000
Mg 0.500 0.500 0.000
Mg 0.500 0.611 0.591
Ga 0.000 0.708 0.862
Mg 0.500 0.389 0.409
Zn 0.000 0.575 0.283
Zn 0.500 0.850 0.760
Zn 0.000 0.855 0.430
Zn 0.500 0.150 0.240
Zn 0.000 0.145 0.570
Ga 0.000 0.292 0.138

In order of appearance, DOS at the Fermi energy = 0.411, 1.663, 0.293 states/eV/atom.